Entry 1:
Here is a relaxed TbPm3Sm4S8 crystal from the Alexandria database. Energies are from PBE.

Output
- N(E_F): 0.577 states/eV/atom
- DFT total energy: -6.444 eV per atom
- Energy relative to the elements, uncorrected: -2.020 eV/atom
- Volume: 365 Å³/cell

Lattice parameters (Å, degrees): 8.020 8.016 8.020 120.01 120.00 90.00
Fractional coordinates of all 16 atoms:
Tb1 0.000 0.500 0.000
Pm1 0.500 0.500 0.000
Pm2 0.500 0.500 0.500
Pm3 0.000 0.500 0.500
Sm1 0.500 0.000 0.000
Sm2 0.500 0.000 0.500
Sm3 0.000 0.000 0.000
Sm4 0.000 0.000 0.500
S1 0.247 0.749 0.002
S2 0.247 0.749 0.494
S3 0.249 0.248 0.498
S4 0.755 0.749 0.002
S5 0.245 0.251 0.998
S6 0.751 0.752 0.502
S7 0.753 0.251 0.506
S8 0.753 0.251 0.998

Entry 2:
Here is a relaxed Tb5Er5Bi6 crystal from the Alexandria database. Energies are from PBE.

Output
- Formation energy: -1035 kJ/mol of formula units
- N(E_F): 0.985 states/eV/atom
- DFT total energy: -4.998 eV per atom
- Volume: 463 Å³/cell

Lattice parameters (Å, degrees): 6.356 9.176 9.176 120.19 90.00 90.00
Fractional coordinates of all 16 atoms:
Tb1 0.750 0.333 0.666
Tb2 0.750 0.666 0.333
Tb3 0.250 0.666 0.333
Tb4 0.250 0.333 0.666
Tb5 0.000 0.242 0.242
Er1 0.000 0.757 0.000
Er2 0.000 0.000 0.757
Er3 0.500 0.760 0.760
Er4 0.500 0.243 0.000
Er5 0.500 0.000 0.243
Bi1 0.000 0.613 0.613
Bi2 0.000 0.388 0.998
Bi3 0.000 0.998 0.388
Bi4 0.500 0.388 0.388
Bi5 0.500 0.612 0.000
Bi6 0.500 0.000 0.612

Entry 3:
Here is a relaxed SmGaPdO4 crystal from the Alexandria database. Energies are from PBE.

Output
- N(E_F): 0.829 states/eV/atom
- DFT total energy: -6.459 eV per atom
- Energy relative to the elements, uncorrected: -1.777 eV/atom
- Volume: 197 Å³/cell

Lattice parameters (Å, degrees): 5.447 5.447 7.161 90.00 90.00 111.95
Fractional coordinates of all 14 atoms:
Sm1 0.500 0.500 0.500
Sm2 0.500 0.500 0.000
Ga1 0.131 0.869 0.250
Ga2 0.869 0.131 0.750
Pd1 0.796 0.204 0.250
Pd2 0.204 0.796 0.750
O1 0.241 0.255 0.750
O2 0.745 0.759 0.750
O3 0.758 0.242 0.969
O4 0.758 0.242 0.531
O5 0.242 0.758 0.031
O6 0.242 0.758 0.469
O7 0.759 0.745 0.250
O8 0.255 0.241 0.250

Entry 4:
Here is a relaxed Ac5W2N12 crystal from the Alexandria database. Energies are from PBE.

Output
- N(E_F): 0.592 states/eV/atom
- DFT total energy: -7.937 eV per atom
- Energy relative to the elements, uncorrected: -0.234 eV/atom
- Volume: 339 Å³/cell

Lattice parameters (Å, degrees): 6.196 7.538 8.319 105.30 90.00 114.27
Fractional coordinates of all 19 atoms:
Ac1 0.317 0.634 0.651
Ac2 0.311 0.621 0.161
Ac3 0.000 0.000 0.500
Ac4 0.689 0.379 0.839
Ac5 0.683 0.366 0.349
W1 0.754 0.000 0.000
W2 0.246 0.000 0.000
N1 0.000 0.001 0.166
N2 0.103 0.699 0.926
N3 0.596 0.699 0.926
N4 0.091 0.689 0.422
N5 0.598 0.689 0.422
N6 0.502 0.004 0.838
N7 0.498 0.996 0.162
N8 0.909 0.311 0.578
N9 0.402 0.311 0.578
N10 0.897 0.301 0.074
N11 0.404 0.301 0.074
N12 0.000 0.999 0.834

Entry 5:
Here is a relaxed Sm3Dy5Bi8 crystal from the Alexandria database. Energies are from PBE.

Output
- Formation energy: -1361 kJ/mol of formula units
- N(E_F): 0.184 states/eV/atom
- DFT total energy: -5.145 eV per atom
- Volume: 518 Å³/cell

Lattice parameters (Å, degrees): 9.017 9.017 9.015 59.99 59.99 60.00
Fractional coordinates of all 16 atoms:
Sm1 0.500 0.000 0.500
Sm2 0.000 0.000 0.500
Sm3 0.000 0.500 0.500
Dy1 0.500 0.000 0.000
Dy2 0.500 0.500 0.000
Dy3 0.000 0.000 0.000
Dy4 0.000 0.500 0.000
Dy5 0.500 0.500 0.500
Bi1 0.250 0.250 0.754
Bi2 0.250 0.746 0.754
Bi3 0.746 0.250 0.754
Bi4 0.748 0.748 0.756
Bi5 0.750 0.750 0.246
Bi6 0.750 0.254 0.246
Bi7 0.254 0.750 0.246
Bi8 0.252 0.252 0.244

Entry 6:
Here is a relaxed ErBe3Ge3 crystal from the Alexandria database. Energies are from PBE.

Output
- Formation energy: 146 kJ/mol of formula units
- N(E_F): 0.285 states/eV/atom
- DFT total energy: -4.011 eV per atom
- Volume: 243 Å³/cell

Lattice parameters (Å, degrees): 6.241 6.241 6.241 90.00 90.00 90.00
Fractional coordinates of all 14 atoms:
Be1 0.000 0.250 0.500
Be2 0.000 0.750 0.500
Be3 0.500 0.000 0.750
Be4 0.750 0.500 0.000
Be5 0.500 0.000 0.250
Be6 0.250 0.500 0.000
Ge1 0.250 0.000 0.500
Ge2 0.000 0.500 0.250
Ge3 0.500 0.750 0.000
Ge4 0.750 0.000 0.500
Ge5 0.000 0.500 0.750
Ge6 0.500 0.250 0.000
Er1 0.500 0.500 0.500
Er2 0.000 0.000 0.000

Entry 7:
Here is a relaxed NaSi2Ir4 crystal from the Alexandria database. Energies are from PBE.

Output
- N(E_F): 0.963 states/eV/atom
- DFT total energy: -7.149 eV per atom
- Energy relative to the elements, uncorrected: -0.348 eV/atom
- Volume: 221 Å³/cell

Lattice parameters (Å, degrees): 3.859 7.574 7.574 90.00 90.00 90.00
Fractional coordinates of all 14 atoms:
Na1 0.500 0.000 0.000
Na2 0.000 0.500 0.500
Si1 0.000 0.228 0.772
Si2 0.000 0.772 0.228
Si3 0.500 0.728 0.728
Si4 0.500 0.272 0.272
Ir1 0.000 0.077 0.337
Ir2 0.000 0.923 0.663
Ir3 0.500 0.163 0.577
Ir4 0.500 0.837 0.423
Ir5 0.500 0.423 0.837
Ir6 0.500 0.577 0.163
Ir7 0.000 0.337 0.077
Ir8 0.000 0.663 0.923

Entry 8:
Here is a relaxed CeIr2 crystal from the Alexandria database. Energies are from PBE.

Output
- Formation energy: -226 kJ/mol of formula units
- N(E_F): 1.527 states/eV/atom
- DFT total energy: -8.665 eV per atom
- Volume: 111 Å³/cell

Lattice parameters (Å, degrees): 5.392 5.392 5.392 60.00 60.00 60.00
Fractional coordinates of all 6 atoms:
Ce1 0.250 0.250 0.250
Ce2 0.000 0.000 0.000
Ir1 0.625 0.125 0.625
Ir2 0.625 0.625 0.125
Ir3 0.125 0.625 0.625
Ir4 0.625 0.625 0.625

Entry 9:
Here is a relaxed Cr2TeAsS crystal from the Alexandria database. Energies are from PBE.

Output
- N(E_F): 0.711 states/eV/atom
- DFT total energy: -5.411 eV per atom
- Energy relative to the elements, uncorrected: 0.822 eV/atom
- Volume: 127 Å³/cell

Lattice parameters (Å, degrees): 4.819 5.471 4.819 90.00 90.00 90.00
Fractional coordinates of all 5 atoms:
Cr1 0.000 0.000 0.500
Cr2 0.500 0.000 0.000
As1 0.000 0.000 0.000
Te1 0.000 0.500 0.000
S1 0.500 0.500 0.500

Entry 10:
Here is a relaxed Na4AcTa3O12 crystal from the Alexandria database. Energies are from PBE.

Output
- N(E_F): 0.649 states/eV/atom
- DFT total energy: -7.516 eV per atom
- Energy relative to the elements, uncorrected: -2.294 eV/atom
- Volume: 291 Å³/cell

Lattice parameters (Å, degrees): 7.234 7.234 7.234 109.47 109.47 109.47
Fractional coordinates of all 20 atoms:
Na1 0.500 0.500 0.500
Na2 0.000 0.000 0.500
Na3 0.500 0.000 0.000
Na4 0.000 0.500 0.000
Ac1 0.000 0.000 0.000
Ta1 0.500 0.000 0.500
Ta2 0.500 0.500 0.000
Ta3 0.000 0.500 0.500
O1 0.250 0.500 0.750
O2 0.727 0.000 0.727
O3 0.273 0.000 0.273
O4 0.750 0.500 0.250
O5 0.727 0.727 0.000
O6 0.273 0.273 0.000
O7 0.750 0.250 0.500
O8 0.250 0.750 0.500
O9 0.500 0.250 0.750
O10 0.000 0.727 0.727
O11 0.500 0.750 0.250
O12 0.000 0.273 0.273

Entry 11:
Here is a relaxed Ag3C crystal from the Alexandria database. Energies are from PBE.

Output
- Formation energy: 440 kJ/mol of formula units
- N(E_F): 0.331 states/eV/atom
- DFT total energy: -3.306 eV per atom
- E above lowest polymorph: 0.582 eV per atom
- Volume: 65 Å³/cell

Lattice parameters (Å, degrees): 3.038 2.980 7.192 90.00 90.00 90.00
Fractional coordinates of all 4 atoms:
C1 0.000 0.500 0.334
Ag1 0.000 0.000 0.083
Ag2 0.500 0.000 0.447
Ag3 0.500 0.500 0.802

Entry 12:
Here is a relaxed KBa2TaTe crystal from the Alexandria database. Energies are from PBE.

Output
- N(E_F): 0.784 states/eV/atom
- DFT total energy: -3.675 eV per atom
- Energy relative to the elements, uncorrected: 0.312 eV/atom
- Volume: 225 Å³/cell

Lattice parameters (Å, degrees): 6.442 5.425 6.442 90.00 90.00 90.00
Fractional coordinates of all 5 atoms:
K1 0.500 0.500 0.500
Te1 0.000 0.500 0.000
Ba1 0.000 0.000 0.500
Ba2 0.500 0.000 0.000
Ta1 0.000 0.000 0.000

Entry 13:
Here is a relaxed Nd4Re2O11 crystal from the Alexandria database. Energies are from PBE.

Output
- N(E_F): 0.008 states/eV/atom
- DFT total energy: -8.487 eV per atom
- Energy relative to the elements, uncorrected: -2.692 eV/atom
- Volume: 930 Å³/cell

Lattice parameters (Å, degrees): 12.823 12.823 5.659 90.00 90.00 90.00
Fractional coordinates of all 68 atoms:
Nd1 0.868 0.935 0.752
Nd2 0.435 0.632 0.252
Nd3 0.565 0.368 0.252
Nd4 0.132 0.065 0.752
Nd5 0.632 0.565 0.748
Nd6 0.065 0.868 0.248
Nd7 0.935 0.132 0.248
Nd8 0.368 0.435 0.748
Nd9 0.056 0.361 0.680
Nd10 0.861 0.444 0.180
Nd11 0.139 0.556 0.180
Nd12 0.944 0.639 0.680
Nd13 0.444 0.139 0.820
Nd14 0.639 0.056 0.320
Nd15 0.361 0.944 0.320
Nd16 0.556 0.861 0.820
Re1 0.664 0.774 0.319
Re2 0.274 0.836 0.819
Re3 0.726 0.164 0.819
Re4 0.336 0.226 0.319
Re5 0.836 0.726 0.181
Re6 0.226 0.664 0.681
Re7 0.774 0.336 0.681
Re8 0.164 0.274 0.181
O1 0.500 0.500 0.000
O2 0.000 0.000 0.500
O3 0.500 0.500 0.500
O4 0.000 0.000 0.000
O5 0.592 0.705 0.058
O6 0.205 0.908 0.558
O7 0.795 0.092 0.558
O8 0.408 0.295 0.058
O9 0.908 0.795 0.442
O10 0.295 0.592 0.942
O11 0.705 0.408 0.942
O12 0.092 0.205 0.442
O13 0.054 0.399 0.264
O14 0.899 0.446 0.764
O15 0.101 0.554 0.764
O16 0.946 0.601 0.264
O17 0.622 0.206 0.039
O18 0.446 0.101 0.236
O19 0.399 0.946 0.736
O20 0.554 0.899 0.236
O21 0.878 0.294 0.461
O22 0.794 0.622 0.961
O23 0.206 0.378 0.961
O24 0.122 0.706 0.461
O25 0.942 0.780 0.957
O26 0.280 0.558 0.457
O27 0.720 0.442 0.457
O28 0.058 0.220 0.957
O29 0.558 0.720 0.543
O30 0.220 0.942 0.043
O31 0.780 0.058 0.043
O32 0.442 0.280 0.543
O33 0.159 0.752 0.945
O34 0.252 0.341 0.445
O35 0.748 0.659 0.445
O36 0.841 0.248 0.945
O37 0.341 0.748 0.555
O38 0.248 0.159 0.055
O39 0.752 0.841 0.055
O40 0.659 0.252 0.555
O41 0.378 0.794 0.039
O42 0.294 0.122 0.539
O43 0.706 0.878 0.539
O44 0.601 0.054 0.736

Entry 14:
Here is a relaxed CoRe crystal from the Alexandria database. Energies are from PBE.

Output
- Formation energy: 5 kJ/mol of formula units
- N(E_F): 0.963 states/eV/atom
- DFT total energy: -9.752 eV per atom
- Volume: 76 Å³/cell

Lattice parameters (Å, degrees): 4.943 4.943 9.997 139.88 139.88 30.94
Fractional coordinates of all 6 atoms:
Co1 0.999 0.999 0.997
Co2 0.114 0.114 0.723
Co3 0.667 0.667 0.337
Re1 0.341 0.341 0.672
Re2 0.429 0.429 0.386
Re3 0.783 0.783 0.052

Entry 15:
Here is a relaxed Pr6TlPb crystal from the Alexandria database. Energies are from PBE.

Output
- Formation energy: -217 kJ/mol of formula units
- N(E_F): 1.567 states/eV/atom
- DFT total energy: -4.625 eV per atom
- Volume: 255 Å³/cell

Lattice parameters (Å, degrees): 5.039 5.039 10.054 90.00 90.00 90.00
Fractional coordinates of all 8 atoms:
Pr1 0.500 0.500 0.000
Pr2 0.500 0.500 0.500
Pr3 0.500 0.000 0.250
Pr4 0.500 0.000 0.750
Pr5 0.000 0.500 0.250
Pr6 0.000 0.500 0.750
Tl1 0.000 0.000 0.500
Pb1 0.000 0.000 0.000

Entry 16:
Here is a relaxed BaMg crystal from the Alexandria database. Energies are from PBE.

Output
- Formation energy: 30 kJ/mol of formula units
- N(E_F): 1.233 states/eV/atom
- DFT total energy: -1.604 eV per atom
- Volume: 183 Å³/cell

Lattice parameters (Å, degrees): 11.310 11.310 11.310 22.35 22.35 22.35
Fractional coordinates of all 4 atoms:
Ba1 0.018 0.018 0.018
Ba2 0.232 0.232 0.232
Mg1 0.484 0.484 0.484
Mg2 0.766 0.766 0.766

Entry 17:
Here is a relaxed La2Fe4As crystal from the Alexandria database. Energies are from PBE.

Output
- Formation energy: 283 kJ/mol of formula units
- N(E_F): 1.568 states/eV/atom
- DFT total energy: -6.489 eV per atom
- Volume: 155 Å³/cell

Lattice parameters (Å, degrees): 4.432 4.432 8.503 74.89 74.89 90.00
Fractional coordinates of all 7 atoms:
As1 0.000 0.000 0.000
Fe1 0.855 0.855 0.290
Fe2 0.145 0.145 0.710
Fe3 0.000 0.500 0.000
Fe4 0.500 0.000 0.000
La1 0.651 0.651 0.698
La2 0.349 0.349 0.302

Entry 18:
Here is a relaxed CdCl2 crystal from the Alexandria database. Energies are from PBE.

Output
- N(E_F): 0.000 states/eV/atom
- DFT total energy: -2.593 eV per atom
- Energy relative to the elements, uncorrected: -1.056 eV/atom
- Volume: 156 Å³/cell

Lattice parameters (Å, degrees): 3.948 6.172 6.415 90.00 90.00 90.00
Fractional coordinates of all 6 atoms:
Cd1 0.000 0.000 0.000
Cd2 0.500 0.500 0.500
Cl1 0.000 0.275 0.665
Cl2 0.000 0.725 0.335
Cl3 0.500 0.775 0.835
Cl4 0.500 0.225 0.165

Entry 19:
Here is a relaxed LiHoGaPd crystal from the Alexandria database. Energies are from PBE.

Output
- Formation energy: -236 kJ/mol of formula units
- N(E_F): 1.360 states/eV/atom
- DFT total energy: -4.290 eV per atom
- Volume: 71 Å³/cell

Lattice parameters (Å, degrees): 4.652 4.652 4.652 60.00 60.00 60.00
Fractional coordinates of all 4 atoms:
Ga1 0.250 0.250 0.250
Ho1 0.750 0.750 0.750
Pd1 0.000 0.000 0.000
Li1 0.500 0.500 0.500